Record 1
Entry from the Alexandria database: an optimized crystal structure of Ag2Pb3S4 (GGA-PBE).

Output
- Symmetry: C2/c (15)
- ΔE to the lowest computed polymorph: 32 meV per atom
- Spin magnetization: 0.00 μB/cell
- Formation energy without anion corrections: -0.30 eV per atom

POSCAR file:
```
Ag2Pb3S4
1.0
6.7559 -0.4156 -0.2975
-0.1481 8.2846 -0.4224
-0.1481 2.2695 7.9789
Ag Pb S
4 6 8
Cartesian
2.5345 2.0389 3.1871 Ag
0.5473 6.6722 6.5044 Ag
3.9252 8.0996 4.0718 Ag
5.9124 3.4663 0.7545 Ag
6.1133 0.2262 1.7924 Pb
3.7243 8.1611 7.4736 Pb
0.3464 9.9124 5.4665 Pb
2.7354 1.9775 -0.2147 Pb
1.5409 5.8741 2.7248 Pb
4.9188 4.2644 4.5341 Pb
3.0843 8.1416 1.5320 S
-0.0025 6.2727 0.1939 S
3.3754 1.9969 5.7269 S
6.4622 3.8659 7.0650 S
0.1715 3.0864 3.3813 S
2.9103 6.1509 5.5754 S
6.2882 7.0522 3.8776 S
3.5495 3.9877 1.6835 S
```


Record 2
Entry from the Alexandria database: an optimized crystal structure of AgPbS2 (GGA-PBE).

Output
- Symmetry: Pnma (62)
- Spin magnetization: 0.00 μB/cell
- Formation energy without anion corrections: -0.18 eV per atom

POSCAR file:
```
AgPbS2
1.0
4.0518 0.0000 0.0000
0.0000 6.7015 0.0000
0.0000 0.0000 13.4613
Ag Pb S
4 4 8
Cartesian
1.0129 3.8292 1.4892 Ag
1.0129 0.4785 5.2414 Ag
3.0388 2.8723 11.9721 Ag
3.0388 6.2231 8.2199 Ag
3.0388 0.6157 1.7864 Pb
1.0129 6.0859 11.6750 Pb
3.0388 3.9664 4.9443 Pb
1.0129 2.7351 8.5170 Pb
3.0388 1.5790 6.6362 S
1.0129 5.1226 6.8252 S
3.0388 4.9298 0.0945 S
1.0129 1.7718 13.3668 S
3.0388 0.9938 10.3085 S
1.0129 2.3570 3.5778 S
3.0388 4.3446 9.8835 S
1.0129 5.7077 3.1528 S
```


Record 3
Entry from the Alexandria database: an optimized crystal structure of AgPb2S2 (GGA-PBE).

Output
- Symmetry: P4/mbm (127)
- ΔE to the lowest computed polymorph: 110 meV per atom
- Spin magnetization: 0.00 μB/cell
- Formation energy without anion corrections: -0.13 eV per atom

POSCAR file:
```
AgPb2S2
1.0
7.6778 0.0000 0.0000
0.0000 7.6778 0.0000
0.0000 0.0000 4.1757
Pb S Ag
4 4 2
Cartesian
1.2139 5.0528 2.0879 Pb
5.0528 6.4639 2.0879 Pb
6.4639 2.6250 2.0879 Pb
2.6250 1.2139 2.0879 Pb
2.5325 6.3714 0.0000 S
6.3714 5.1452 0.0000 S
5.1452 1.3064 0.0000 S
1.3064 2.5325 0.0000 S
0.0000 0.0000 0.0000 Ag
3.8389 3.8389 0.0000 Ag
```


Record 4
Entry from the Alexandria database: an optimized crystal structure of AgPb2S2 (GGA-PBE).

Output
- Symmetry: P4/mbm (127)
- ΔE to the lowest computed polymorph: 213 meV per atom
- Spin magnetization: 0.00 μB/cell
- Formation energy without anion corrections: -0.03 eV per atom

POSCAR file:
```
AgPb2S2
1.0
8.0247 0.0000 0.0000
0.0000 8.0247 0.0000
0.0000 0.0000 3.9234
Pb S Ag
4 4 2
Cartesian
2.7702 6.7826 0.0000 Pb
6.7826 5.2544 0.0000 Pb
5.2544 1.2421 0.0000 Pb
1.2421 2.7702 0.0000 Pb
1.3347 5.3470 1.9617 S
5.3470 6.6900 1.9617 S
6.6900 2.6777 1.9617 S
2.6777 1.3347 1.9617 S
0.0000 0.0000 0.0000 Ag
4.0123 4.0123 0.0000 Ag
```


Record 5
Entry from the Alexandria database: an optimized crystal structure of AgPbS3 (GGA-PBE).

Output
- Symmetry: Pm-3m (221)
- ΔE to the lowest computed polymorph: 0 meV per atom
- Spin magnetization: 0.00 μB/cell
- Formation energy without anion corrections: 0.31 eV per atom

POSCAR file:
```
AgPbS3
1.0
-3.8928 2.1861 1.9572
1.7134 -0.9460 4.4646
2.3820 4.2531 -0.0129
Pb S Ag
1 3 1
Cartesian
0.1013 2.7466 3.2044 Pb
0.8567 -0.4730 2.2323 S
1.1910 2.1266 -0.0065 S
-1.9464 1.0930 0.9786 S
0.0000 0.0000 0.0000 Ag
```


Record 6
Entry from the Alexandria database: an optimized crystal structure of AgPb3S4 (GGA-PBE).

Output
- Symmetry: P4/mmm (123)
- ΔE to the lowest computed polymorph: 11 meV per atom
- Spin magnetization: 0.00 μB/cell
- Formation energy without anion corrections: -0.33 eV per atom

POSCAR file:
```
AgPb3S4
1.0
4.1318 0.0000 0.0000
0.0000 4.1318 0.0000
0.0000 0.0000 11.6140
Pb S Ag
3 4 1
Cartesian
2.0659 2.0659 8.8586 Pb
0.0000 0.0000 5.8070 Pb
2.0659 2.0659 2.7554 Pb
0.0000 0.0000 2.8067 S
2.0659 2.0659 0.0000 S
0.0000 0.0000 8.8072 S
2.0659 2.0659 5.8070 S
0.0000 0.0000 0.0000 Ag
```


Record 7
Entry from the Alexandria database: an optimized crystal structure of Ag2Pb3S4 (GGA-PBE).

Output
- Symmetry: C2/m (12)
- ΔE to the lowest computed polymorph: 0 meV per atom
- Spin magnetization: 0.00 μB/cell
- Formation energy without anion corrections: -0.33 eV per atom

POSCAR file:
```
Ag2Pb3S4
1.0
-1.5188 -3.6709 -1.4131
5.4120 -4.7423 0.2118
-3.7271 -3.2478 6.1523
Ag Pb S
2 3 4
Cartesian
2.0143 -9.3015 3.1258 Ag
-1.8483 -2.3595 1.8252 Ag
0.0000 0.0000 0.0000 Pb
1.5743 -3.6468 1.4907 Pb
-1.4082 -8.0142 3.4602 Pb
-1.2045 -4.8553 1.3258 S
1.3705 -6.8058 3.6252 S
-2.4903 -5.7718 5.0888 S
2.6563 -5.8892 -0.1378 S
```


Record 8
Entry from the Alexandria database: an optimized crystal structure of AgPb4S5 (GGA-PBE).

Output
- Symmetry: I4 (79)
- ΔE to the lowest computed polymorph: 0 meV per atom
- Spin magnetization: 0.00 μB/cell
- Formation energy without anion corrections: -0.38 eV per atom

POSCAR file:
```
AgPb4S5
1.0
-0.7813 -2.9432 -5.0118
-0.6566 -7.0825 0.8306
-6.8603 -0.7997 -1.8918
Ag Pb S
1 4 5
Cartesian
-0.0080 -0.0301 -0.0513 Ag
-6.0601 -4.6176 -3.2135 Pb
-5.3091 -8.4973 -4.4833 Pb
-2.9910 -2.3350 -1.6015 Pb
-2.2400 -6.2147 -2.8712 Pb
-6.4944 -6.0435 -5.7279 S
-4.9604 -7.0569 -1.9410 S
-3.3371 -3.7655 -4.1270 S
-1.8031 -4.7789 -0.3400 S
-0.3886 -1.4639 -2.4927 S
```


Record 9
Entry from the Alexandria database: an optimized crystal structure of AgPbS (GGA-PBE).

Output
- Symmetry: P3m1 (156)
- Spin magnetization: 0.00 μB/cell
- Formation energy without anion corrections: -0.09 eV per atom

POSCAR file:
```
AgPbS
1.0
4.9834 0.0000 0.0000
0.0000 4.0388 0.0000
0.0000 -2.0194 3.4977
Pb S Ag
1 1 1
Cartesian
3.3262 2.0194 1.1659 Pb
0.2361 0.0000 0.0000 S
1.4211 0.0000 2.3318 Ag
```


Record 10
Entry from the Alexandria database: an optimized crystal structure of AgPbS (GGA-PBE).

Output
- Symmetry: Fmmm (69)
- Spin magnetization: 0.00 μB/cell
- Formation energy without anion corrections: -0.09 eV per atom

POSCAR file:
```
AgPbS
1.0
-3.0623 2.2361 4.4193
-5.0448 -6.1891 3.4722
3.3364 -0.4984 6.4004
Pb Ag S
4 4 4
Cartesian
-4.1148 -3.4467 6.5654 Pb
-1.0948 -1.4686 3.8207 Pb
-3.6758 -2.9829 10.4712 Pb
-0.6559 -1.0048 7.7266 Pb
-1.1741 1.6090 6.0450 Ag
-3.6458 1.0226 4.6290 Ag
-4.4613 -4.9757 3.2625 Ag
1.4481 0.1286 4.7747 Ag
-2.3231 -4.0235 4.2623 S
-2.8861 -0.8919 6.1241 S
-1.8846 -3.5596 8.1678 S
-2.4476 -0.4280 10.0296 S
```


Record 11
Entry from the Alexandria database: an optimized crystal structure of AgPb2S2 (GGA-PBE).

Output
- Symmetry: I4/mmm (139)
- ΔE to the lowest computed polymorph: 309 meV per atom
- Spin magnetization: 0.00 μB/cell
- Formation energy without anion corrections: 0.07 eV per atom

POSCAR file:
```
AgPb2S2
1.0
5.0998 0.0000 0.0000
0.0000 5.0998 0.0000
2.5499 2.5499 5.7423
Pb S Ag
2 2 1
Cartesian
2.5499 2.5499 1.6869 Pb
5.0998 5.0998 4.0555 Pb
5.0998 2.5499 2.8712 S
2.5499 5.0998 2.8712 S
0.0000 0.0000 0.0000 Ag
```


Record 12
Entry from the Alexandria database: an optimized crystal structure of Ag6PbS4 (GGA-PBE).

Output
- Symmetry: I-42m (121)
- Spin magnetization: 0.00 μB/cell
- Formation energy without anion corrections: -0.04 eV per atom

POSCAR file:
```
Ag6PbS4
1.0
-4.3992 4.8850 -2.1966
-2.1703 -4.8268 4.4758
5.1799 1.7038 4.2786
Ag Pb S
6 1 4
Cartesian
0.8698 -3.0513 5.8050 Ag
3.1009 -1.0690 5.7451 Ag
0.1457 -0.0540 3.6413 Ag
-3.2848 0.0291 1.1396 Ag
-2.4964 2.8133 0.1209 Ag
0.3904 3.2944 1.0410 Ag
0.0000 0.0000 0.0000 Pb
-0.5062 -2.6743 3.4041 S
-1.2363 1.4583 2.2127 S
2.8161 0.2774 3.3149 S
0.5464 -0.4224 6.3806 S
```


Record 13
Entry from the Alexandria database: an optimized crystal structure of Ag5Pb3S12 (GGA-PBE).

Output
- Symmetry: Ia-3d (230)
- Spin magnetization: 0.00 μB/cell
- Formation energy without anion corrections: 0.22 eV per atom

POSCAR file:
```
Ag5Pb3S12
1.0
13.5428 0.0000 0.0000
-4.5143 12.7682 0.0000
-4.5143 -6.3841 11.0576
Pb Ag S
12 20 48
Cartesian
7.8999 3.9901 1.3822 Pb
7.8999 8.7782 1.3822 Pb
-1.1286 5.5861 6.9110 Pb
1.1286 -0.7980 4.1466 Pb
10.1571 0.0000 2.7644 Pb
1.1286 6.3841 2.7644 Pb
3.3857 0.0000 8.2932 Pb
-5.6428 6.3841 8.2932 Pb
3.3857 7.1821 6.9110 Pb
5.6428 0.7980 4.1466 Pb
-3.3857 -2.3940 9.6754 Pb
-3.3857 2.3940 9.6754 Pb
-1.1286 3.1921 2.7644 Ag
-2.2571 6.3841 0.0000 Ag
0.0000 0.0000 0.0000 Ag
3.3857 2.3940 1.3822 Ag
4.5143 -3.1921 5.5288 Ag
4.5143 6.3841 0.0000 Ag
-3.3857 7.1821 4.1466 Ag
5.6428 -3.9901 9.6754 Ag
5.6428 5.5861 4.1466 Ag
1.1286 -3.1921 8.2932 Ag
3.3857 9.5762 2.7644 Ag
2.2571 3.1921 5.5288 Ag
6.7714 0.0000 0.0000 Ag
-2.2571 -3.1921 5.5288 Ag
-1.1286 0.7980 6.9110 Ag
-1.1286 10.3742 1.3822 Ag
-4.5143 3.1921 5.5288 Ag
7.8999 -0.7980 6.9110 Ag
1.1286 3.9901 9.6754 Ag
5.6428 3.1921 8.2932 Ag
8.7883 1.4690 0.3915 S
0.2402 4.2656 4.4524 S
10.0737 2.8057 3.2622 S
5.7262 1.7698 1.4679 S
1.5445 4.7267 7.4040 S
9.6012 6.5444 1.8752 S
-1.0452 7.4200 4.7301 S
-3.4691 10.9985 1.4679 S
0.7126 8.0415 7.4040 S
6.1987 6.2238 1.8752 S
7.0115 3.5875 4.0609 S
7.0116 11.2993 0.3915 S
-3.8016 5.5833 5.9203 S
2.8298 4.6800 0.7987 S
-4.7544 9.1807 4.0609 S
2.4973 -2.1186 6.6052 S
-0.7126 0.8566 2.2666 S
2.8298 7.9279 1.0764 S
5.7262 9.9625 3.2622 S
-0.5727 4.8404 1.0764 S
-2.9698 7.2407 8.7910 S
3.3023 5.3482 4.7301 S
6.0587 7.1849 5.9203 S
5.0869 -1.7041 10.2589 S
1.2120 1.0359 6.3275 S
-1.5445 -0.8008 5.1373 S
-0.5727 8.0882 0.7987 S
-1.2120 -3.5784 7.7954 S
7.4840 -0.8566 2.2666 S
5.0869 1.5438 9.9812 S
1.6844 -1.5438 9.9812 S
2.0169 8.5027 4.4524 S
5.2269 5.5275 8.7910 S
9.2687 -2.7966 6.9967 S
8.3159 0.8008 5.1373 S
-2.4973 -4.9152 10.6661 S
1.6844 1.7041 10.2589 S
3.8016 -1.6574 3.6537 S
-1.6844 0.1603 9.1825 S
-2.4973 2.7966 6.9967 S
7.9833 -4.6143 9.5897 S
5.5594 -1.0359 6.3275 S
-1.2120 4.6143 9.5897 S
-5.0869 -0.1603 9.1825 S
2.9698 1.6574 3.6537 S
-5.5594 3.5784 7.7954 S
4.2741 2.1186 6.6052 S
-4.2741 4.9152 10.6661 S
```


Record 14
Entry from the Alexandria database: an optimized crystal structure of Ag2PbS (GGA-PBE).

Output
- Symmetry: I-42d (122)
- Spin magnetization: 0.00 μB/cell
- Formation energy without anion corrections: 0.07 eV per atom

POSCAR file:
```
Ag2PbS
1.0
-4.8225 -2.6850 -5.3822
-2.6831 -5.2137 5.0051
-5.8361 -2.0127 0.7120
Pb S Ag
2 2 4
Cartesian
0.0000 0.0000 0.0000 Pb
-7.2057 -4.3236 -2.4293 Pb
-3.7528 -3.9494 -0.1885 S
-6.1360 -5.5879 2.7643 S
-4.5937 -2.7135 -2.3205 Ag
-3.9536 -4.2170 2.3937 Ag
-7.3112 -4.7038 0.6156 Ag
-10.8250 -8.1887 -0.0188 Ag
```


Record 15
Entry from the Alexandria database: an optimized crystal structure of AgPb2S (GGA-PBE).

Output
- Symmetry: I-42d (122)
- Spin magnetization: 0.00 μB/cell
- Formation energy without anion corrections: 0.07 eV per atom

POSCAR file:
```
AgPb2S
1.0
6.7683 0.0000 0.0000
0.0000 6.7683 0.0000
3.3842 3.3842 5.9356
Pb S Ag
4 2 2
Cartesian
5.0222 1.6921 1.4839 Pb
1.7461 5.0762 1.4839 Pb
5.0762 5.1303 4.4517 Pb
8.4604 8.4064 4.4517 Pb
3.3842 3.3842 0.0000 S
3.3842 6.7683 2.9678 S
0.0000 0.0000 0.0000 Ag
6.7683 3.3842 2.9678 Ag
```


Record 16
Entry from the Alexandria database: an optimized crystal structure of AgPb2S2 (GGA-PBE).

Output
- Symmetry: Pnma (62)
- ΔE to the lowest computed polymorph: 0 meV per atom
- Spin magnetization: 0.00 μB/cell
- Formation energy without anion corrections: -0.24 eV per atom

POSCAR file:
```
AgPb2S2
1.0
5.9572 0.0000 0.0000
0.0000 7.8813 0.0000
0.0000 0.0000 11.4383
Ag Pb S
4 8 8
Cartesian
4.4679 1.0392 6.6909 Ag
1.4893 2.9014 0.9717 Ag
1.4893 6.8420 4.7474 Ag
4.4679 4.9799 10.4666 Ag
4.4679 5.3029 6.3917 Pb
1.4893 6.5190 0.6725 Pb
1.4893 2.5784 5.0466 Pb
4.4679 1.3622 10.7657 Pb
4.4679 0.2803 3.2661 Pb
1.4893 3.6604 8.9852 Pb
1.4893 7.6010 8.1722 Pb
4.4679 4.2209 2.4531 Pb
4.4679 3.4087 8.6691 S
1.4893 0.5320 2.9500 S
1.4893 4.4726 2.7692 S
4.4679 7.3493 8.4883 S
4.4679 6.6254 0.7733 S
1.4893 5.1966 6.4924 S
1.4893 1.2559 10.6650 S
4.4679 2.6847 4.9459 S
```


Record 17
Entry from the Alexandria database: an optimized crystal structure of AgPb2S3 (GGA-PBE).

Output
- Symmetry: Immm (71)
- Spin magnetization: 0.00 μB/cell
- Formation energy without anion corrections: -0.29 eV per atom

POSCAR file:
```
AgPb2S3
1.0
-0.8073 3.8577 -4.2406
-2.1310 -2.7652 -2.1099
-3.5852 1.3196 5.8349
Ag Pb S
1 2 3
Cartesian
-0.6681 1.5858 -2.3820 Ag
-4.0125 2.8228 -0.6200 Pb
-3.0369 -1.0931 -0.4162 Pb
-0.2641 -0.3427 -0.2615 S
-3.7567 0.9460 1.5758 S
-3.2958 0.7798 -2.6150 S
```


Record 18
Entry from the Alexandria database: an optimized crystal structure of AgPbS2 (GGA-PBE).

Output
- Symmetry: R3m (160)
- Spin magnetization: 0.00 μB/cell
- Formation energy without anion corrections: -0.11 eV per atom

POSCAR file:
```
AgPbS2
1.0
3.9060 0.0000 0.0000
1.9530 3.3827 0.0000
1.9530 1.1276 6.7333
Ag Pb S
1 1 2
Cartesian
5.8590 3.3827 6.6876 Ag
3.9060 2.2551 3.3763 Pb
1.9530 1.1276 5.2636 S
1.9530 1.1276 1.5057 S
```


Record 19
Entry from the Alexandria database: an optimized crystal structure of AgPbS2 (GGA-PBE).

Output
- Symmetry: I-42d (122)
- Spin magnetization: 0.00 μB/cell
- Formation energy without anion corrections: -0.14 eV per atom

POSCAR file:
```
AgPbS2
1.0
-0.7234 3.1799 5.0793
-4.2516 -3.8779 1.8223
1.8578 -3.8054 6.2335
Pb S Ag
2 4 2
Cartesian
0.0000 0.0000 0.0000 Pb
-0.6765 -0.4872 7.3818 Pb
-0.5026 0.4788 4.8448 S
-2.2997 -2.9050 3.4481 S
-0.5693 -3.2043 7.3048 S
-2.8627 -3.3763 10.6724 S
-2.4875 -0.3490 3.4508 Ag
-2.4406 -4.0161 5.7533 Ag
```